# 1
This record from the Alexandria database describes an optimized crystal structure of Nd6Y2Tm3. The functional is PBE.

a b c (Å): 6.246 8.041 8.088
angles (deg): 107.38 97.43 104.89
Space group P-1 (No. 2)
Asymmetric unit:
1 Nd 0.047 0.182 0.410 x2
2 Nd 0.137 0.546 0.231 x2
3 Nd 0.320 0.273 0.865 x2
4 Y 0.229 0.911 0.047 x2
5 Tm 0.410 0.638 0.682 x2
6 Tm 0.500 0.000 0.500 x1

Summary:
Formation energy in eV per atom: 0.02
Electronic total energy in eV per atom: -4.977
DOS at the Fermi energy in states/eV/atom: 1.33
Polymorph energy (0 for the lowest one) in kJ per mole of atoms: 0.00

***

# 2
This record from the Alexandria database describes an optimized crystal structure of Ac3Tb7Y2. The functional is PBE.

a b c (Å): 5.880 39.216 3.701
angles (deg): 90.00 90.00 90.00
Space group Cmmm (No. 65)
Asymmetric unit:
1 Ac 0.000 0.000 0.000 x2
2 Ac 0.000 0.316 0.500 x4
3 Tb 0.000 0.074 0.500 x4
4 Tb 0.000 0.230 0.000 x4
5 Tb 0.000 0.411 0.000 x4
6 Tb 0.000 0.500 0.500 x2
7 Y 0.000 0.146 0.000 x4

Summary:
Formation energy in eV per atom: 0.14
Electronic total energy in eV per atom: -4.666
DOS at the Fermi energy in states/eV/atom: 1.66

***

# 3
This record from the Alexandria database describes an optimized crystal structure of Ce2ClF. The functional is PBE.

a b c (Å): 3.5433 3.5433 22.4640
angles (deg): 90.00 90.00 120.00
Space group R-3m (No. 166, hexagonal axes)
Asymmetric unit:
1 Ce 0.0000 0.0000 0.2392 x6
2 Cl 0.0000 0.0000 0.0000 x3
3 F 0.0000 0.0000 0.5000 x3

Summary:
Formation energy (no corrections) in meV/atom: -1775
Electronic total energy in eV per atom: -5.671
DOS at the Fermi energy in states/eV/atom: 2.34

***

# 4
This record from the Alexandria database describes an optimized crystal structure of Ac3GePb. The functional is PBE.

a b c (Å): 9.018 4.942 16.732
angles (deg): 90.00 90.00 90.00
Space group Pnma (No. 62)
Asymmetric unit:
1 Ac 0.011 0.250 0.107 x4
2 Ac 0.144 0.250 0.526 x4
3 Ac 0.166 0.750 0.278 x4
4 Ge 0.193 0.250 0.943 x4
5 Pb 0.106 0.750 0.680 x4

Summary:
Formation energy in eV per atom: -0.56
Electronic total energy in eV per atom: -4.694
DOS at the Fermi energy in states/eV/atom: 0.73
Polymorph energy (0 for the lowest one) in kJ per mole of atoms: 0.00

***

# 5
This record from the Alexandria database describes an optimized crystal structure of PuNO3. The functional is PBE.

a b c (Å): 8.472 13.372 6.814
angles (deg): 90.00 90.00 90.00
Space group Ccce (No. 68, origin choice 2)
Asymmetric unit:
1 Pu 0.000 0.250 0.250 x4
2 Pu 0.000 0.250 0.750 x4
3 N 0.250 0.000 0.247 x8
4 O 0.000 0.157 0.035 x16
5 O 0.219 0.250 0.750 x8

Summary:
Formation energy (no corrections) in meV/atom: -905
Electronic total energy in eV per atom: -8.411
DOS at the Fermi energy in states/eV/atom: 0.90

***

# 6
This record from the Alexandria database describes an optimized crystal structure of Ho3NiBr3. The functional is PBE.

a b c (Å): 8.591 3.934 11.604
angles (deg): 90.00 92.00 90.00
Space group P2_1/m (No. 11)
Asymmetric unit:
1 Ho 0.107 0.250 0.335 x2
2 Ho 0.124 0.250 0.871 x2
3 Ho 0.294 0.750 0.113 x2
4 Ni 0.085 0.250 0.107 x2
5 Br 0.134 0.250 0.605 x2
6 Br 0.357 0.750 0.365 x2
7 Br 0.408 0.750 0.869 x2

Summary:
Formation energy (no corrections) in meV/atom: -1190
Electronic total energy in eV per atom: -4.695
DOS at the Fermi energy in states/eV/atom: 0.66

***

# 7
This record from the Alexandria database describes an optimized crystal structure of BaMn2Ni. The functional is PBE.

a b c (Å): 5.784 10.437 3.171
angles (deg): 90.00 121.92 90.00
Space group C2/m (No. 12)
Asymmetric unit:
1 Ba 0.000 0.000 0.000 x2
2 Mn 0.250 0.250 0.500 x4
3 Ni 0.000 0.500 0.000 x2

Summary:
Formation energy in eV per atom: 0.91
Electronic total energy in eV per atom: -5.605
DOS at the Fermi energy in states/eV/atom: 0.96
Polymorph energy (0 for the lowest one) in kJ per mole of atoms: 62.59

***

# 8
This record from the Alexandria database describes an optimized crystal structure of SrP3O. The functional is PBE.

a b c (Å): 4.420 4.420 4.420
angles (deg): 90.00 90.00 90.00
Space group Pm-3m (No. 221)
Asymmetric unit:
1 Sr 0.000 0.000 0.000 x1
2 P 0.000 0.500 0.500 x3
3 O 0.500 0.500 0.500 x1

Summary:
Formation energy (no corrections) in meV/atom: 2
Electronic total energy in eV per atom: -4.572
DOS at the Fermi energy in states/eV/atom: 0.61
Polymorph energy (0 for the lowest one) in kJ per mole of atoms: 0.00

***

# 9
This record from the Alexandria database describes an optimized crystal structure of Na3RuN. The functional is PBE.

a b c (Å): 4.723 4.723 4.723
angles (deg): 90.00 90.00 90.00
Space group Pm-3m (No. 221)
Asymmetric unit:
1 Na 0.000 0.000 0.500 x3
2 Ru 0.500 0.500 0.500 x1
3 N 0.000 0.000 0.000 x1

Summary:
Formation energy (no corrections) in meV/atom: 1119
Electronic total energy in eV per atom: -3.193
DOS at the Fermi energy in states/eV/atom: 0.95
Polymorph energy (0 for the lowest one) in kJ per mole of atoms: 0.00

***

# 10
This record from the Alexandria database describes an optimized crystal structure of LaPPtI2. The functional is PBE.

a b c (Å): 5.421 5.421 4.834
angles (deg): 90.00 90.00 90.00
Space group P4/mmm (No. 123)
Asymmetric unit:
1 La 0.000 0.000 0.000 x1
2 P 0.500 0.500 0.000 x1
3 Pt 0.500 0.500 0.500 x1
4 I 0.000 0.500 0.500 x2

Summary:
Formation energy (no corrections) in meV/atom: -257
Electronic total energy in eV per atom: -4.152
DOS at the Fermi energy in states/eV/atom: 0.76

***

# 11
This record from the Alexandria database describes an optimized crystal structure of NaHgGeSe2. The functional is PBE.

a b c (Å): 5.082 5.082 5.905
angles (deg): 90.00 90.00 90.00
Space group P4/mmm (No. 123)
Asymmetric unit:
1 Na 0.000 0.000 0.000 x1
2 Hg 0.500 0.500 0.000 x1
3 Ge 0.000 0.000 0.500 x1
4 Se 0.000 0.500 0.500 x2

Summary:
Formation energy (no corrections) in meV/atom: 14
Electronic total energy in eV per atom: -2.627
DOS at the Fermi energy in states/eV/atom: 0.43

***

# 12
This record from the Alexandria database describes an optimized crystal structure of Li4Np3PdS8. The functional is PBE.

a b c (Å): 7.6301 7.6301 18.5366
angles (deg): 90.00 90.00 120.00
Space group R-3m (No. 166, hexagonal axes)
Asymmetric unit:
1 Li 0.0000 0.0000 0.0000 x3
2 Li 0.0000 0.5000 0.0000 x9
3 Np 0.0000 0.5000 0.5000 x9
4 Pd 0.0000 0.0000 0.5000 x3
5 S 0.0000 0.0000 0.2525 x6
6 S 0.0006 0.5003 0.7502 x18

Summary:
Formation energy (no corrections) in meV/atom: -1200
Electronic total energy in eV per atom: -6.493
DOS at the Fermi energy in states/eV/atom: 1.65

***

# 13
This record from the Alexandria database describes an optimized crystal structure of NaLa3Ir. The functional is PBE.

a b c (Å): 4.6750 4.6750 18.6913
angles (deg): 90.00 90.00 120.00
Space group P6_3/mmc (No. 194)
Asymmetric unit:
1 Na 0.0000 0.0000 0.0000 x2
2 La 0.0000 0.0000 0.2500 x2
3 La 0.3333 0.6667 0.1348 x4
4 Ir 0.3333 0.6667 0.7500 x2

Summary:
Formation energy in eV per atom: 0.03
Electronic total energy in eV per atom: -4.959
DOS at the Fermi energy in states/eV/atom: 1.89
Polymorph energy (0 for the lowest one) in kJ per mole of atoms: 34.51

***

# 14
This record from the Alexandria database describes an optimized crystal structure of Sm3Er4Th. The functional is PBE.

a b c (Å): 6.177 3.572 11.718
angles (deg): 90.00 100.26 90.00
Space group P2/m (No. 10)
Asymmetric unit:
1 Sm 0.000 0.000 0.000 x1
2 Sm 0.000 0.500 0.500 x1
3 Sm 0.500 0.000 0.500 x1
4 Er 0.254 0.500 0.249 x2
5 Er 0.256 0.000 0.754 x2
6 Th 0.500 0.500 0.000 x1

Summary:
Formation energy in eV per atom: 0.02
Electronic total energy in eV per atom: -4.956
DOS at the Fermi energy in states/eV/atom: 1.31
Polymorph energy (0 for the lowest one) in kJ per mole of atoms: 0.00

***

# 15
This record from the Alexandria database describes an optimized crystal structure of La5Pm2Ho4. The functional is PBE.

a b c (Å): 3.570 9.322 23.750
angles (deg): 90.00 90.00 90.00
Space group Immm (No. 71)
Asymmetric unit:
1 La 0.000 0.000 0.000 x2
2 La 0.000 0.299 0.355 x8
3 Pm 0.000 0.500 0.232 x4
4 Ho 0.000 0.183 0.500 x4
5 Ho 0.000 0.500 0.096 x4

Summary:
Formation energy in eV per atom: 0.16
Electronic total energy in eV per atom: -4.605
DOS at the Fermi energy in states/eV/atom: 1.52
Polymorph energy (0 for the lowest one) in kJ per mole of atoms: 8.56

***

# 16
This record from the Alexandria database describes an optimized crystal structure of LiLa2AuF. The functional is PBE.

a b c (Å): 5.265 5.265 4.006
angles (deg): 90.00 90.00 90.00
Space group P4/mmm (No. 123)
Asymmetric unit:
1 Li 0.000 0.000 0.000 x1
2 La 0.000 0.500 0.500 x2
3 Au 0.500 0.500 0.000 x1
4 F 0.000 0.000 0.500 x1

Summary:
Formation energy (no corrections) in meV/atom: -1320
Electronic total energy in eV per atom: -4.704
DOS at the Fermi energy in states/eV/atom: 0.67

***

# 17
This record from the Alexandria database describes an optimized crystal structure of V2HgI. The functional is PBE.

a b c (Å): 6.711 6.711 6.711
angles (deg): 90.00 90.00 90.00
Space group Fm-3m (No. 225)
Asymmetric unit:
1 V 0.250 0.250 0.250 x8
2 Hg 0.000 0.000 0.000 x4
3 I 0.000 0.000 0.500 x4

Summary:
Formation energy (no corrections) in meV/atom: 796
Electronic total energy in eV per atom: -4.226
DOS at the Fermi energy in states/eV/atom: 1.30
Polymorph energy (0 for the lowest one) in kJ per mole of atoms: 0.00

***

# 18
This record from the Alexandria database describes an optimized crystal structure of Ta2CdCl. The functional is PBE.

a b c (Å): 2.924 2.924 8.246
angles (deg): 90.00 90.00 90.00
Space group P4/mmm (No. 123)
Asymmetric unit:
1 Ta 0.000 0.000 0.226 x2
2 Cd 0.500 0.500 0.500 x1
3 Cl 0.500 0.500 0.000 x1

Summary:
Formation energy (no corrections) in meV/atom: 499
Electronic total energy in eV per atom: -6.117
DOS at the Fermi energy in states/eV/atom: 0.54
Polymorph energy (0 for the lowest one) in kJ per mole of atoms: 54.53

***

# 19
This record from the Alexandria database describes an optimized crystal structure of NdHo8Sc4. The functional is PBE.

a b c (Å): 7.0893 7.0893 26.4554
angles (deg): 90.00 90.00 120.00
Space group R-3m (No. 166, hexagonal axes)
Asymmetric unit:
1 Nd 0.0000 0.0000 0.0000 x3
2 Ho 0.0000 0.0000 0.2810 x6
3 Ho 0.0330 0.5165 0.2641 x18
4 Sc 0.0000 0.0000 0.5000 x3
5 Sc 0.0000 0.5000 0.5000 x9

Summary:
Formation energy in eV per atom: 0.24
Electronic total energy in eV per atom: -4.888
DOS at the Fermi energy in states/eV/atom: 1.31

***

# 20
This record from the Alexandria database describes an optimized crystal structure of K4PW. The functional is PBE.

a b c (Å): 9.318 9.318 9.318
angles (deg): 90.00 90.00 90.00
Space group F-43m (No. 216)
Asymmetric unit:
1 K 0.124 0.124 0.124 x16
2 P 0.250 0.250 0.750 x4
3 W 0.000 0.000 0.500 x4

Summary:
Formation energy in eV per atom: 1.36
Electronic total energy in eV per atom: -2.427
DOS at the Fermi energy in states/eV/atom: 0.54

***

# 21
This record from the Alexandria database describes an optimized crystal structure of FeHPtRh2. The functional is PBE.

a b c (Å): 3.858 3.858 3.823
angles (deg): 90.00 90.00 90.00
Space group P4/mmm (No. 123)
Asymmetric unit:
1 Fe 0.000 0.000 0.000 x1
2 H 0.000 0.000 0.500 x1
3 Pt 0.500 0.500 0.000 x1
4 Rh 0.000 0.500 0.500 x2

Summary:
Electronic total energy in eV per atom: -6.443
DOS at the Fermi energy in states/eV/atom: 1.40
Polymorph energy (0 for the lowest one) in kJ per mole of atoms: 12.23

***

# 22
This record from the Alexandria database describes an optimized crystal structure of SnBi2Sb. The functional is PBE.

a b c (Å): 6.734 6.734 15.491
angles (deg): 90.00 90.00 90.00
Space group I-42d (No. 122)
Asymmetric unit:
1 Sn 0.000 0.000 0.000 x4
2 Bi 0.250 0.250 0.125 x8
3 Sb 0.000 0.000 0.500 x4

Summary:
Formation energy (no corrections) in meV/atom: 246
Electronic total energy in eV per atom: -3.725
DOS at the Fermi energy in states/eV/atom: 0.73
Polymorph energy (0 for the lowest one) in kJ per mole of atoms: 17.39